Computed, not measured: a geometry-optimized ScZnFeW structure at the PBE level of DFT.

Lattice parameters (Å, degrees): 4.3706 4.3706 4.3706 60.00 60.00 60.00
Closest atoms and distances in Å follow each position.
Sites, in units of the cell vectors:
Zn: 0.0000 0.0000 0.0000  4 Fe 2.68, 4 Sc 2.68
W: 0.5000 0.5000 0.5000  4 Sc 2.68, 4 Fe 2.68
Sc: 0.2500 0.2500 0.2500  4 W 2.68, 4 Zn 2.68
Fe: 0.7500 0.7500 0.7500  4 Zn 2.68, 4 W 2.68

Values from the calculation:
ΔH_f (0 K) in eV/atom: 0.2275

***

Computed, not measured: a geometry-optimized YScZnFe structure at the PBE level of DFT.

Lattice parameters (Å, degrees): 4.7031 4.7031 4.7031 60.00 60.00 60.00
Closest atoms and distances in Å follow each position.
Sites, in units of the cell vectors:
Sc: 0.5000 0.5000 0.5000  4 Fe 2.88, 4 Y 2.88
Y: 0.2500 0.2500 0.2500  4 Sc 2.88, 4 Zn 2.88
Fe: 0.7500 0.7500 0.7500  4 Sc 2.88, 4 Zn 2.88
Zn: 0.0000 0.0000 0.0000  4 Fe 2.88, 4 Y 2.88

Values from the calculation:
ΔH_f (0 K) in eV/atom: 0.1192

***

Computed, not measured: a geometry-optimized ZrScZnFe structure at the PBE level of DFT.

Lattice parameters (Å, degrees): 4.5398 4.5398 4.5398 60.00 60.00 60.00
Closest atoms and distances in Å follow each position.
Sites, in units of the cell vectors:
Zr: 0.5000 0.5000 0.5000  4 Fe 2.78, 4 Sc 2.78
Sc: 0.2500 0.2500 0.2500  4 Zn 2.78, 4 Zr 2.78
Zn: 0.0000 0.0000 0.0000  4 Sc 2.78, 4 Fe 2.78
Fe: 0.7500 0.7500 0.7500  4 Zr 2.78, 4 Zn 2.78

Values from the calculation:
ΔH_f (0 K) in eV/atom: -0.0148

***

no.,relative energy among the computed polymorphs (eV per atom)
1,0.000
2,0.000
3,0.000